[1]
Sr2ZnAgB | PBE | optimized geometry

For the formation enthalpy at 0 K, the calculation gives 4.12 eV per formula unit. The crystal system is tetragonal.

It has space group P4/mmm (No. 123), with a = 5.8825 Å, b = 5.8825 Å, c = 4.7247 Å, α = 90.00°, β = 90.00° and γ = 90.00°. The distinct sites, in fractional coordinates, are Sr at (0.0000, 0.5000, 0.0000), Zn at (0.0000, 0.0000, 0.0000), Ag at (0.0000, 0.0000, 0.5000) and B at (0.5000, 0.5000, 0.5000).

[2]
YSbBrO2 | PBE | optimized geometry

The crystal system is tetragonal. The calculation puts the uncorrected formation energy at -0.739 eV/atom.

It has space group P4/mmm (No. 123), with a = 4.2487 Å, b = 4.2487 Å, c = 5.6884 Å, α = 90.00°, β = 90.00° and γ = 90.00°. The distinct sites, in fractional coordinates, are Y at (0.0000, 0.0000, 0.0000), Sb at (0.5000, 0.5000, 0.5000), Br at (0.5000, 0.5000, 0.0000) and O at (0.0000, 0.5000, 0.5000).

[3]
ScTl5Te5 | PBE | optimized geometry

The crystal system is monoclinic. The calculation puts the uncorrected formation energy at -0.399 eV/atom.

It has space group C2/m (No. 12), with a = 15.0028 Å, b = 6.2110 Å, c = 9.5240 Å, α = 90.00°, β = 109.54° and γ = 90.00°. The distinct sites, in fractional coordinates, are Sc at (0.0000, 0.0000, 0.0000), Tl at (0.0000, 0.0000, 0.5000), Tl at (0.1788, 0.5000, 0.8514), Tl at (0.1841, 0.5000, 0.3096), Te at (0.0000, 0.5000, 0.0000), Te at (0.1458, 0.0000, 0.8473) and Te at (0.1501, 0.0000, 0.3012).

[4]
Zr2Ru2Au | PBE | optimized geometry

For the formation enthalpy at 0 K, the calculation gives -1.91 eV per formula unit. The crystal system is tetragonal.

It has space group P4/mbm (No. 127), with a = 7.4125 Å, b = 7.4125 Å, c = 3.3234 Å, α = 90.00°, β = 90.00° and γ = 90.00°. The distinct sites, in fractional coordinates, are Zr at (0.1629, 0.3371, 0.0000), Ru at (0.1369, 0.6369, 0.5000) and Au at (0.0000, 0.0000, 0.5000).

[5]
Th6Te3Os2Pb | PBE | optimized geometry

The crystal system is monoclinic. The calculation puts the uncorrected formation energy at -0.785 eV/atom.

It has space group C2/m (No. 12), with a = 19.5325 Å, b = 4.3095 Å, c = 9.1970 Å, α = 90.00°, β = 106.56° and γ = 90.00°. The distinct sites, in fractional coordinates, are Th at (0.0228, 0.0000, 0.2627), Th at (0.1716, 0.5000, 0.1338), Th at (0.1792, 0.5000, 0.5618), Te at (0.0000, 0.5000, 0.5000), Te at (0.1570, 0.0000, 0.8403), Os at (0.1708, 0.0000, 0.3423) and Pb at (0.0000, 0.5000, 0.0000).

[6]
GaNi3Pd | PBE | optimized geometry

For the formation enthalpy at 0 K, the calculation gives 5.60 eV per formula unit. The crystal system is cubic. For the energy above the lowest structure with this stoichiometry, the calculation gives 367 meV/atom.

It has space group Pm-3m (No. 221), with a = 4.5687 Å, b = 4.5687 Å, c = 4.5687 Å, α = 90.00°, β = 90.00° and γ = 90.00°. The distinct sites, in fractional coordinates, are Ga at (0.0000, 0.0000, 0.0000), Ni at (0.0000, 0.5000, 0.5000) and Pd at (0.5000, 0.5000, 0.5000).

[7]
LaZrSc2Fe | PBE | optimized geometry

For the formation enthalpy at 0 K, the calculation gives 0.15 eV per formula unit. The crystal system is tetragonal.

It has space group P4/mmm (No. 123), with a = 5.0004 Å, b = 5.0004 Å, c = 4.9327 Å, α = 90.00°, β = 90.00° and γ = 90.00°. The distinct sites, in fractional coordinates, are La at (0.0000, 0.0000, 0.0000), Zr at (0.5000, 0.5000, 0.0000), Sc at (0.0000, 0.5000, 0.5000) and Fe at (0.5000, 0.5000, 0.5000).

[8]
CoIr2Rh | PBE | optimized geometry

For the formation enthalpy at 0 K, the calculation gives 0.09 eV per formula unit. The crystal system is tetragonal. For the energy above the lowest structure with this stoichiometry, the calculation gives 13 meV/atom.

It has space group P4/mmm (No. 123), with a = 2.7011 Å, b = 2.7011 Å, c = 7.4301 Å, α = 90.00°, β = 90.00° and γ = 90.00°. The distinct sites, in fractional coordinates, are Co at (0.0000, 0.0000, 0.0000), Ir at (0.5000, 0.5000, 0.2379) and Rh at (0.0000, 0.0000, 0.5000).

[9]
RbBSb3 | PBE | optimized geometry

The crystal system is cubic. For the energy above the lowest structure with this stoichiometry, the calculation gives 0 meV/atom. The calculation puts the uncorrected formation energy at 0.574 eV/atom.

It has space group Pm-3m (No. 221), with a = 5.1364 Å, b = 5.1364 Å, c = 5.1364 Å, α = 90.00°, β = 90.00° and γ = 90.00°. The distinct sites, in fractional coordinates, are Rb at (0.0000, 0.0000, 0.0000), B at (0.5000, 0.5000, 0.5000) and Sb at (0.0000, 0.5000, 0.5000).

[10]
BaZrP | PBE | optimized geometry

For the formation enthalpy at 0 K, the calculation gives -1.56 eV per formula unit. The crystal system is trigonal. For the energy above the lowest structure with this stoichiometry, the calculation gives 363 meV/atom.

It has space group P3m1 (No. 156), with a = 3.9797 Å, b = 3.9797 Å, c = 6.7985 Å, α = 90.00°, β = 90.00° and γ = 120.00°. The distinct sites, in fractional coordinates, are Ba at (0.0000, 0.0000, 0.0000), Zr at (0.6667, 0.3333, 0.4919) and P at (0.3333, 0.6667, 0.3241).

[11]
Mg2Si | PBE | optimized geometry

The crystal system is triclinic. The calculation puts the uncorrected formation energy at 0.000 eV/atom.

It has space group P-1 (No. 2), with a = 6.1472 Å, b = 6.2776 Å, c = 7.6745 Å, α = 90.58°, β = 106.50° and γ = 118.59°. The distinct sites, in fractional coordinates, are Mg at (0.1825, 0.4692, 0.3724), Mg at (0.2106, 0.9768, 0.4238), Mg at (0.2263, 0.9910, 0.9430), Mg at (0.2311, 0.4884, 0.9881), Si at (0.3361, 0.3438, 0.7053) and Si at (0.3880, 0.7624, 0.7185).

[12]
BaMg3Tl | PBE | optimized geometry

For the formation enthalpy at 0 K, the calculation gives -0.71 eV per formula unit. The crystal system is triclinic. For the energy above the lowest structure with this stoichiometry, the calculation gives 13 meV/atom.

It has space group P1 (No. 1), with a = 4.7730 Å, b = 5.0053 Å, c = 7.3894 Å, α = 109.70°, β = 108.83° and γ = 90.10°. The distinct sites, in fractional coordinates, are Ba at (0.0000, 0.0000, 0.0000), Mg at (0.2612, 0.7614, 0.5219), Mg at (0.6144, 0.6150, 0.2293), Mg at (0.7533, 0.2531, 0.5076) and Tl at (0.3901, 0.3902, 0.7802).

[13]
BaLa2NbPt | PBE | optimized geometry

For the formation enthalpy at 0 K, the calculation gives 1.64 eV per formula unit. The crystal system is tetragonal.

It has space group P4/mmm (No. 123), with a = 5.5999 Å, b = 5.5999 Å, c = 6.0824 Å, α = 90.00°, β = 90.00° and γ = 90.00°. The distinct sites, in fractional coordinates, are Ba at (0.0000, 0.0000, 0.0000), La at (0.0000, 0.5000, 0.5000), Nb at (0.5000, 0.5000, 0.0000) and Pt at (0.0000, 0.0000, 0.5000).

[14]
FeHg2PAu | PBE | optimized geometry

For the formation enthalpy at 0 K, the calculation gives 1.87 eV per formula unit. The crystal system is tetragonal.

It has space group P4/mmm (No. 123), with a = 5.1232 Å, b = 5.1232 Å, c = 4.1094 Å, α = 90.00°, β = 90.00° and γ = 90.00°. The distinct sites, in fractional coordinates, are Fe at (0.0000, 0.0000, 0.0000), Hg at (0.0000, 0.5000, 0.0000), P at (0.0000, 0.0000, 0.5000) and Au at (0.5000, 0.5000, 0.5000).

[15]
CdRePt2 | PBE | optimized geometry

For the formation enthalpy at 0 K, the calculation gives 0.90 eV per formula unit. The crystal system is tetragonal.

It has space group I4/mmm (No. 139), with a = 4.0885 Å, b = 4.0885 Å, c = 7.8293 Å, α = 90.00°, β = 90.00° and γ = 90.00°. The distinct sites, in fractional coordinates, are Cd at (0.0000, 0.0000, 0.0000), Re at (0.0000, 0.0000, 0.5000) and Pt at (0.0000, 0.5000, 0.2500).

[16]
NaPPtPb2 | PBE | optimized geometry

For the formation enthalpy at 0 K, the calculation gives 5.09 eV per formula unit. The crystal system is tetragonal.

It has space group P4/mmm (No. 123), with a = 5.3923 Å, b = 5.3923 Å, c = 4.6641 Å, α = 90.00°, β = 90.00° and γ = 90.00°. The distinct sites, in fractional coordinates, are Na at (0.0000, 0.0000, 0.0000), P at (0.0000, 0.0000, 0.5000), Pt at (0.5000, 0.5000, 0.5000) and Pb at (0.0000, 0.5000, 0.0000).

[17]
K2CrSnTe4 | PBE | optimized geometry

The crystal system is orthorhombic. The calculation puts the uncorrected formation energy at -0.496 eV/atom.

It has space group Imma (No. 74), with a = 8.7903 Å, b = 9.3010 Å, c = 12.7384 Å, α = 90.00°, β = 90.00° and γ = 90.00°. The distinct sites, in fractional coordinates, are K at (0.0000, 0.0000, 0.0000), K at (0.2500, 0.2500, 0.2500), Cr at (0.2500, 0.2500, 0.7500), Sn at (0.0000, 0.0000, 0.5000), Te at (0.0000, 0.0546, 0.7409) and Te at (0.2340, 0.2500, 0.5309).

[18]
BaF2 | PBE | optimized geometry

The crystal system is cubic. For the energy above the lowest structure with this stoichiometry, the calculation gives 0 meV/atom. The calculation puts the uncorrected formation energy at -3.879 eV/atom.

It has space group Fm-3m (No. 225), with a = 6.2777 Å, b = 6.2777 Å, c = 6.2777 Å, α = 90.00°, β = 90.00° and γ = 90.00°. The distinct sites, in fractional coordinates, are Ba at (0.0000, 0.0000, 0.0000) and F at (0.2500, 0.2500, 0.2500).

[19]
ZrBPF2 | PBE | optimized geometry

The crystal system is tetragonal. The calculation puts the uncorrected formation energy at -0.366 eV/atom.

It has space group P4/mmm (No. 123), with a = 3.7403 Å, b = 3.7403 Å, c = 5.6925 Å, α = 90.00°, β = 90.00° and γ = 90.00°. The distinct sites, in fractional coordinates, are Zr at (0.0000, 0.0000, 0.0000), B at (0.5000, 0.5000, 0.0000), P at (0.0000, 0.0000, 0.5000) and F at (0.0000, 0.5000, 0.5000).

[20]
Pm12AlNi6 | PBE | optimized geometry

For the formation enthalpy at 0 K, the calculation gives -5.03 eV per formula unit. The crystal system is cubic.

It has space group Im-3 (No. 204), with a = 9.9480 Å, b = 9.9480 Å, c = 9.9480 Å, α = 90.00°, β = 90.00° and γ = 90.00°. The distinct sites, in fractional coordinates, are Pm at (0.0000, 0.1855, 0.3042), Al at (0.0000, 0.0000, 0.0000) and Ni at (0.0000, 0.3778, 0.5000).

[21]
Ba3Zn2Pt | PBE | optimized geometry

For the formation enthalpy at 0 K, the calculation gives -2.45 eV per formula unit. The crystal system is orthorhombic.

It has space group Pnma (No. 62), with a = 13.6043 Å, b = 4.6305 Å, c = 13.5459 Å, α = 90.00°, β = 90.00° and γ = 90.00°. The distinct sites, in fractional coordinates, are Ba at (0.0634, 0.2500, 0.1282), Ba at (0.1102, 0.7500, 0.5566), Ba at (0.2147, 0.2500, 0.8006), Zn at (0.0398, 0.7500, 0.3165), Zn at (0.2161, 0.7500, 0.9884) and Pt at (0.1249, 0.2500, 0.3691).

[22]
CdBI2N | PBE | optimized geometry

The crystal system is tetragonal. For the energy above the lowest structure with this stoichiometry, the calculation gives 1586 meV/atom. The calculation puts the uncorrected formation energy at 1.539 eV/atom.

It has space group P4/mmm (No. 123), with a = 6.0367 Å, b = 6.0367 Å, c = 4.2877 Å, α = 90.00°, β = 90.00° and γ = 90.00°. The distinct sites, in fractional coordinates, are Cd at (0.0000, 0.0000, 0.0000), B at (0.5000, 0.5000, 0.5000), I at (0.0000, 0.5000, 0.0000) and N at (0.0000, 0.0000, 0.5000).

[23]
K2PaAs2S6 | PBE | optimized geometry

The crystal system is monoclinic. The calculation puts the uncorrected formation energy at -0.849 eV/atom.

It has space group C2/m (No. 12), with a = 11.5331 Å, b = 7.2039 Å, c = 8.1627 Å, α = 90.00°, β = 113.53° and γ = 90.00°. The distinct sites, in fractional coordinates, are K at (0.1958, 0.0000, 0.1479), Pa at (0.0000, 0.0000, 0.5000), As at (0.0640, 0.5000, 0.1991), S at (0.0499, 0.2502, 0.7705) and S at (0.2353, 0.0000, 0.5545).

[24]
BaZrCr | PBE | optimized geometry

For the formation enthalpy at 0 K, the calculation gives 5.08 eV per formula unit. The crystal system is cubic. For the energy above the lowest structure with this stoichiometry, the calculation gives 1030 meV/atom.

It has space group F-43m (No. 216), with a = 7.1306 Å, b = 7.1306 Å, c = 7.1306 Å, α = 90.00°, β = 90.00° and γ = 90.00°. The distinct sites, in fractional coordinates, are Ba at (0.0000, 0.0000, 0.0000), Zr at (0.2500, 0.2500, 0.7500) and Cr at (0.2500, 0.2500, 0.2500).

[25]
LiUBr2 | PBE | optimized geometry

The crystal system is trigonal. The calculation puts the uncorrected formation energy at -0.707 eV/atom.

It has space group R-3m (No. 166, hexagonal axes), with a = 3.6056 Å, b = 3.6056 Å, c = 26.8600 Å, α = 90.00°, β = 90.00° and γ = 120.00°. The distinct sites, in fractional coordinates, are Li at (0.0000, 0.0000, 0.0000), U at (0.0000, 0.0000, 0.5000) and Br at (0.0000, 0.0000, 0.3936).

no.,DOS at the Fermi energy (states/eV/f.u.)
1,4.0
2,2.7
3,6.0
4,3.9
5,7.8
6,10.9
7,8.0
8,6.2
9,2.8
10,3.5
11,1.2
12,3.4
13,4.2
14,2.6
15,3.7
16,3.2
17,1.4
18,0.0
19,4.3
20,15.6
21,5.0
22,0.4
23,3.7
24,2.7
25,8.6